CaAc2Nd, optimized geometry, DFT PBE; SG = Fm-3m, No. 225; calculated volume = 166 Å³ per cell; E = -14.696 eV for the cell shown
1.0
6.168 0.000 0.000
3.084 5.341 0.000
3.084 1.780 5.036
Ca Nd Ac
1 1 2
direct
0.500 0.500 0.500
0.000 0.000 0.000
0.750 0.750 0.750
0.250 0.250 0.250